one:
MgTiCr3, optimized geometry, DFT GGA-PBE; calculated volume = 16.543 A^3/atom; D(E_F) = 5.7 states/eV per cell; M_tot = 0.000 μB/f.u.
1.0
4.357 0.000 0.000
0.000 4.357 0.000
0.000 0.000 4.357
Mg Ti Cr
1 1 3
Cartesian
0.000 0.000 0.000
2.179 2.179 2.179
0.000 2.179 2.179
2.179 0.000 2.179
2.179 2.179 0.000

two:
MgTiCr3, optimized geometry, DFT GGA-PBE; calculated volume = 20.667 A^3/atom; D(E_F) = 1.7 states/eV per cell; M_tot = 9.991 μB/f.u.
1.0
4.693 0.000 0.000
0.000 4.693 0.000
0.000 0.000 4.693
Mg Ti Cr
1 1 3
Cartesian
0.000 0.000 0.000
2.346 2.346 2.346
0.000 0.000 2.346
0.000 2.346 0.000
2.346 0.000 0.000

The most stable arrangement is one, and the next structure is 355 meV/atom less stable.

one:
Mg14TiCr, optimized geometry, DFT GGA-PBE; calculated volume = 21.796 A^3/atom; D(E_F) = 7.7 states/eV per cell; M_tot = 2.391 μB/f.u.
1.0
10.222 0.000 0.000
0.000 3.122 5.463
0.000 -3.122 5.463
Mg Ti Cr
14 1 1
Cartesian
0.000 0.000 0.000
0.000 -1.558 2.741
0.000 1.558 2.741
0.000 0.000 5.460
2.586 0.000 7.256
2.636 0.000 1.787
2.667 -1.559 4.584
2.667 1.559 4.584
5.111 -1.547 8.210
5.111 1.547 8.210
7.555 -1.559 4.584
7.555 1.559 4.584
7.586 0.000 1.787
7.636 0.000 7.256
5.111 0.000 5.496
5.111 0.000 0.001

two:
Mg14TiCr, optimized geometry, DFT GGA-PBE; calculated volume = 21.841 A^3/atom; D(E_F) = 7.1 states/eV per cell; M_tot = 5.708 μB/f.u.
1.0
6.319 0.000 0.000
-3.159 5.472 0.000
0.000 0.000 10.107
Mg Ti Cr
14 1 1
Cartesian
0.000 0.000 2.484
0.000 0.000 7.623
-1.526 2.767 2.527
-1.526 2.767 7.580
1.582 0.913 5.053
1.607 0.928 0.000
1.526 2.767 2.527
1.526 2.767 7.580
0.000 5.410 2.527
0.000 5.410 7.580
4.712 0.928 0.000
3.159 3.617 0.000
4.737 0.913 5.053
3.159 3.645 5.053
0.000 3.648 0.000
0.000 3.648 5.053

The most stable arrangement is one, and the next structure is 5 meV/atom less stable.

one:
Mg2VCr, optimized geometry, DFT GGA-PBE; calculated volume = 19.305 A^3/atom; D(E_F) = 4.7 states/eV per cell; M_tot = 0.976 μB/f.u.
1.0
-3.743 3.743 2.755
3.743 -3.743 2.755
3.743 3.743 -2.755
Mg V Cr
4 2 2
Cartesian
1.872 1.809 -0.689
1.934 -1.872 3.444
1.872 1.934 2.066
1.809 5.615 0.689
3.743 0.000 1.378
0.000 0.000 2.755
0.000 0.000 0.000
0.000 3.743 1.378

two:
Mg2VCr, optimized geometry, DFT GGA-PBE; calculated volume = 18.182 A^3/atom; D(E_F) = 3.3 states/eV per cell; M_tot = 1.064 μB/f.u.
1.0
0.000 3.313 3.313
3.313 0.000 3.313
3.313 3.313 0.000
Mg V Cr
2 1 1
Cartesian
1.657 1.657 1.657
4.970 4.970 4.970
0.000 0.000 0.000
3.313 3.313 3.313

The most stable arrangement is two, and the next structure is 350 meV/atom less stable.

one:
Mg14CrW, optimized geometry, DFT GGA-PBE; calculated volume = 21.051 A^3/atom; D(E_F) = 8.2 states/eV per cell; M_tot = 2.457 μB/f.u.
1.0
10.092 0.000 0.000
0.000 3.062 5.449
0.000 -3.062 5.449
Mg Cr W
14 1 1
Cartesian
0.000 0.000 0.000
0.000 -1.527 2.736
0.000 0.000 5.438
0.000 1.527 2.736
2.572 0.000 7.201
2.618 0.000 1.738
2.688 -1.554 4.563
2.688 1.554 4.563
5.046 -1.531 2.730
5.046 1.531 2.730
7.404 -1.554 4.563
7.404 1.554 4.563
7.474 0.000 1.738
7.520 0.000 7.201
5.046 0.000 5.472
5.046 0.000 0.060

two:
Mg14CrW, optimized geometry, DFT GGA-PBE; calculated volume = 21.067 A^3/atom; D(E_F) = 6.5 states/eV per cell; M_tot = 3.938 μB/f.u.
1.0
6.237 0.000 0.000
-3.118 5.401 0.000
0.000 0.000 10.006
Mg Cr W
14 1 1
Cartesian
0.000 0.000 2.485
0.000 0.000 7.521
-1.488 2.742 2.563
-1.488 2.742 7.443
1.562 0.902 5.003
1.575 0.909 0.000
1.488 2.742 2.563
1.488 2.742 7.443
0.000 5.319 2.563
0.000 5.319 7.443
4.662 0.909 0.000
3.118 3.582 0.000
4.675 0.902 5.003
3.118 3.598 5.003
0.000 3.601 0.000
0.000 3.601 5.003

The most stable arrangement is one, and the next structure is 10 meV/atom less stable.

one:
Mg6CrW, optimized geometry, DFT GGA-PBE; calculated volume = 19.319 A^3/atom; D(E_F) = 3.9 states/eV per cell; M_tot = 2.287 μB/f.u.
1.0
4.741 0.000 0.000
0.000 2.970 5.488
0.000 -2.970 5.488
Mg Cr W
6 1 1
Cartesian
0.000 0.000 0.000
0.000 -1.417 2.760
0.000 1.417 2.760
2.371 -1.455 6.554
2.371 1.455 6.554
2.371 0.000 9.268
0.000 0.000 5.225
2.371 0.000 4.034

two:
Mg6CrW, optimized geometry, DFT GGA-PBE; calculated volume = 19.388 A^3/atom; D(E_F) = 4.8 states/eV per cell; M_tot = 2.631 μB/f.u.
1.0
4.908 0.000 0.000
0.000 2.908 5.433
0.000 -2.908 5.433
Mg Cr W
6 1 1
Cartesian
0.000 0.000 0.000
0.000 -1.497 2.862
0.000 0.000 5.406
0.000 1.497 2.862
2.454 -1.454 6.555
2.454 1.454 6.555
2.454 0.000 3.794
2.454 0.000 9.288

The most stable arrangement is one, and the next structure is 56 meV/atom less stable.

one:
YMg14Cr, optimized geometry, DFT GGA-PBE; calculated volume = 23.113 A^3/atom; D(E_F) = 7.0 states/eV per cell; M_tot = 4.223 μB/f.u.
1.0
10.352 0.000 0.000
0.000 3.168 5.638
0.000 -3.168 5.638
Y Mg Cr
1 14 1
Cartesian
0.000 0.000 0.000
0.000 -1.540 2.827
0.000 1.540 2.827
2.417 0.000 7.349
2.577 -1.564 4.599
2.577 1.564 4.599
2.655 0.000 1.795
5.176 0.000 5.571
5.176 -1.561 8.375
5.176 1.561 8.375
5.176 0.000 11.184
7.697 0.000 1.795
7.775 -1.564 4.599
7.775 1.564 4.599
7.935 0.000 7.349
0.000 0.000 5.509

two:
YMg14Cr, optimized geometry, DFT GGA-PBE; calculated volume = 23.215 A^3/atom; D(E_F) = 9.4 states/eV per cell; M_tot = 4.757 μB/f.u.
1.0
6.461 0.000 0.000
-3.230 5.595 0.000
0.000 0.000 10.275
Y Mg Cr
1 14 1
Cartesian
0.000 0.000 0.000
-1.555 2.832 0.000
0.000 1.841 2.665
0.000 1.841 7.610
-1.636 4.675 2.665
-1.636 4.675 7.610
1.555 2.832 0.000
0.000 5.526 0.000
3.230 0.027 5.138
1.639 2.784 5.138
3.230 1.865 2.458
3.230 1.865 7.818
1.636 4.675 2.665
1.636 4.675 7.610
4.822 2.784 5.138
0.000 0.000 5.138

The most stable arrangement is one, and the next structure is 8 meV/atom less stable.